# 1
VHgSb2 after structural relaxation, computed with PBE-GGA.

Output
- crystal system = tetragonal

Structure (CIF):
```
data_VHgSb2
_cell_length_a 3.3923
_cell_length_b 3.3923
_cell_length_c 8.5544
_cell_angle_alpha 90.00
_cell_angle_beta 90.00
_cell_angle_gamma 90.00
_space_group_name_H-M_alt 'P 4/m m m'
_space_group_IT_number 123
_space_group_name_Hall '-P 4 2'
loop_
_atom_site_label
_atom_site_type_symbol
_atom_site_fract_x
_atom_site_fract_y
_atom_site_fract_z
V1 V 0.0000 0.0000 0.0000
Hg1 Hg 0.0000 0.0000 0.5000
Sb1 Sb 0.5000 0.5000 0.1833
```

***

# 2
V2HgSb after structural relaxation, computed with PBE-GGA.

Output
- crystal system = tetragonal
- relative energy among the computed polymorphs (meV per atom) = 408.2

Structure (CIF):
```
data_V2HgSb
_cell_length_a 4.3448
_cell_length_b 4.3448
_cell_length_c 18.8078
_cell_angle_alpha 90.00
_cell_angle_beta 90.00
_cell_angle_gamma 90.00
_space_group_name_H-M_alt 'I -4 2 d'
_space_group_IT_number 122
_space_group_name_Hall 'I -4 2bw'
loop_
_atom_site_label
_atom_site_type_symbol
_atom_site_fract_x
_atom_site_fract_y
_atom_site_fract_z
V1 V 0.2302 0.2500 0.1250
Hg1 Hg 0.0000 0.0000 0.0000
Sb1 Sb 0.0000 0.0000 0.5000
```

***

| no. | raw formation energy (meV per atom) | DOS at the Fermi energy (states/eV/atom) |
| --- | --- | --- |
| 1 | 79 | 0.564 |
| 2 | 783 | 1.624 |